{
  "formula": "DyEr2Cd",
  "functional": "PBE",
  "state": "relaxed",
  "final_energy_ev_per_atom": -3.806,
  "volume_a3_per_cell": 114,
  "ef_ev_per_atom": -0.146,
  "n_ef_per_ev_atom": 1.004,
  "space_group": "Immm",
  "polymorph_energy_ev_per_atom": 0.000,
  "lattice_angstrom": [[-1.883, 2.675, 5.654], [1.883, -2.675, 5.654], [1.883, 2.675, -5.654]],
  "species": ["Dy", "Er", "Er", "Cd"],
  "fractional_positions": [[0.000, 0.000, 0.000], [0.276, 0.776, 0.500], [0.724, 0.224, 0.500], [0.500, 0.500, 0.000]]
}